Entry from Alexandria: a geometry-optimized AlGaNiRu structure (PBE-GGA).

Cell and atoms, written as POSCAR:
```
AlGaNiRu
1.0
-0.0920 -2.6430 -1.5307
2.1079 -1.8256 3.0254
-3.5549 -0.9712 1.8907
Ru Ga Ni Al
1 1 1 1
Direct
0.0000 0.5000 0.5000
0.5000 0.5000 0.0000
0.0000 0.0000 0.0000
0.5000 0.0000 0.5000
```

Properties
calculated formation energy = -562 meV per atom
SG = Pmmm (47)
M_tot = 0.000 μB/cell
E_tot = -24.1 eV per cell
relative energy among the computed polymorphs = 0 meV/atom

***

Entry from Alexandria: a geometry-optimized NdSi4Pd8 structure (PBE-GGA).

Cell and atoms, written as POSCAR:
```
NdSi4Pd8
1.0
-0.6099 0.4599 5.2208
-5.9408 -2.3152 2.1762
2.1756 -5.3967 3.3958
Si Pd Nd
4 8 1
Direct
0.5000 0.0000 0.5000
0.0000 0.5000 0.0000
0.5000 0.5000 0.0000
0.0000 0.0000 0.5000
0.0000 0.3330 0.6670
0.3330 0.6670 0.6670
0.0000 0.6670 0.3330
0.6670 0.3330 0.3330
0.2749 0.2251 0.2251
0.7251 0.7749 0.7749
0.5000 0.7749 0.2251
0.5000 0.2251 0.7749
0.0000 0.0000 0.0000
```

Properties
SG = I4/mmm (139)
M_tot = 0.000 μB/cell
E_tot = -76.3 eV per cell
formation energy without anion corrections = -14.8 kcal/mol of atoms

***

- Among the records above, which one has the highest E_tot?
  AlGaNiRu